Compound: BiH2Rh2
Source: Alexandria via LeMat-Bulk
Functional: PBE-GGA
Structure: relaxed

POSCAR file:
```
BiH2Rh2
1.0
-1.659 1.659 5.516
1.659 -1.659 5.516
1.659 1.659 -5.516
Bi H Rh
1 2 2
direct
0.000 0.000 0.000 Bi
0.250 0.750 0.500 H
0.750 0.250 0.500 H
0.334 0.334 0.000 Rh
0.666 0.666 0.000 Rh
```

Crystal system   tetragonal
Magnetization   0.0 μB/f.u.
ΔE to the lowest computed polymorph   0.18 eV per formula unit